Rb2PuI4: optimized geometry, PBE.

Values from the calculation:
- Energy above the most stable polymorph in this dataset: 0.000 eV/f.u.
- ΔE_f (raw): -1269 meV per atom
- Total magnetic moment: 6.000 μB/f.u.
- DOS(E_F): 2.604 states/eV/atom

a b c (Å): 8.044 8.044 10.098
angles (deg): 116.46 116.46 34.30
Element x y z (fractional)
Rb 0.149 0.149 0.178
Rb 0.851 0.851 0.822
Pu 0.500 0.500 0.500
I 0.157 0.157 0.563
I 0.440 0.440 0.150
I 0.560 0.560 0.850
I 0.843 0.843 0.437